The following is a DFT calculation (PBE-GGA) of an optimized crystal structure of Mn2ZnCdNi.

POSCAR file:
```
Mn2ZnCdNi
1.0
4.5569 0.0000 0.0000
0.0000 4.5569 0.0000
0.0000 0.0000 4.8535
Mn Zn Cd Ni
2 1 1 1
Cartesian
0.0000 2.2784 0.0000
2.2784 0.0000 0.0000
0.0000 0.0000 2.4268
2.2784 2.2784 2.4268
2.2784 2.2784 0.0000
```

## Properties
Formation energy from the elements (eV/atom): 0.658
Calculated volume (Å³ per atom): 20.16
Energy (eV/atom): -4.6042